Below is an optimized crystal structure of Sr4NdIn5, with properties calculated at the PBE level.

Summary:
Its space group is P4/mmm (123). As for the spin magnetization: 0.000 μB per atom. As for the volume: 32.79 Å³/atom. Its energy relative to the elements is -0.437 eV per atom. For the electronic total energy, the calculation gives -29.56 eV per cell.

Lattice parameters (Å, degrees): 4.034 4.034 20.151 90.00 90.00 90.00
Sites, in units of the cell vectors:
1 In 0.500 0.500 0.297
2 In 0.500 0.500 0.703
3 In 0.500 0.500 0.500
4 Sr 0.000 0.000 0.196
5 Sr 0.000 0.000 0.398
6 Sr 0.000 0.000 0.602
7 Nd 0.000 0.000 0.000
8 Sr 0.000 0.000 0.804
9 In 0.500 0.500 0.910
10 In 0.500 0.500 0.090